A plane-wave DFT calculation with PBE was carried out for a geometry-optimized HfFe3Hg structure.

The total DFT energy (no corrections) is -0.4160 Ry/atom. The calculated volume comes out at 21.32 Å³ per atom. The value obtained for the energy relative to the lowest polymorph listed for this composition is 0.0692 eV/atom.

The space group is Pm-3m (No. 221) and the conventional cell measures 4.7419, 4.7419 and 4.7419 Å, with angles of 90.00, 90.00 and 90.00 degrees. Symmetry generates all atoms from Hf at (0.0000, 0.0000, 0.0000), Fe at (0.0000, 0.5000, 0.5000) and Hg at (0.5000, 0.5000, 0.5000).

=====

A plane-wave DFT calculation with PBE was carried out for a geometry-optimized TiVAu2 structure.

The total DFT energy (no corrections) is -0.4439 Ry/atom. The calculated volume comes out at 16.61 Å³ per atom. The value obtained for the energy relative to the lowest polymorph listed for this composition is 0.0000 eV/atom.

The space group is P4/mmm (No. 123) and the conventional cell measures 4.0854, 4.0854 and 3.9805 Å, with angles of 90.00, 90.00 and 90.00 degrees. Symmetry generates all atoms from Ti at (0.0000, 0.0000, 0.0000), V at (0.5000, 0.5000, 0.0000) and Au at (0.0000, 0.5000, 0.5000).

=====

A plane-wave DFT calculation with PBE was carried out for a geometry-optimized KTeAs2 structure.

The total DFT energy (no corrections) is -0.2350 Ry/atom. The calculated volume comes out at 25.56 Å³ per atom. The formation energy from raw total energies is 188 meV per atom.

The space group is I4/mmm (No. 139) and the conventional cell measures 4.4766, 4.4766 and 10.2036 Å, with angles of 90.00, 90.00 and 90.00 degrees. Symmetry generates all atoms from K at (0.0000, 0.0000, 0.0000), Te at (0.0000, 0.0000, 0.5000) and As at (0.0000, 0.5000, 0.2500).

=====

A plane-wave DFT calculation with PBE was carried out for a geometry-optimized In3Hg5Bi structure.

The total DFT energy (no corrections) is -0.1079 Ry/atom. The calculated volume comes out at 28.58 Å³ per atom. The value obtained for the energy relative to the lowest polymorph listed for this composition is 0.0284 eV/atom.

The space group is I4/mcm (No. 140) and the conventional cell measures 7.7026, 7.7026 and 17.3406 Å, with angles of 90.00, 90.00 and 90.00 degrees. Symmetry generates all atoms from In at (0.0000, 0.0000, 0.2500), In at (0.1343, 0.3657, 0.0000), Hg at (0.0000, 0.0000, 0.0000), Hg at (0.2141, 0.2859, 0.3622) and Bi at (0.0000, 0.5000, 0.2500).

=====

A plane-wave DFT calculation with PBE was carried out for a geometry-optimized Cs3NdTe2O9 structure.

The total DFT energy (no corrections) is -0.3957 Ry/atom. The calculated volume comes out at 16.27 Å³ per atom. The formation energy from raw total energies is -1502 meV per atom.

The space group is P-3m1 (No. 164) and the conventional cell measures 6.1248, 6.1248 and 7.5137 Å, with angles of 90.00, 90.00 and 120.00 degrees. Symmetry generates all atoms from Cs at (0.0000, 0.0000, 0.0000), Cs at (0.3333, 0.6667, 0.6683), Nd at (0.0000, 0.0000, 0.5000), Te at (0.3333, 0.6667, 0.1676), O at (0.0000, 0.5000, 0.0000) and O at (0.1823, 0.3645, 0.3099).

=====

A plane-wave DFT calculation with PBE was carried out for a geometry-optimized ZnMoAu2 structure.

The total DFT energy (no corrections) is -0.3270 Ry/atom. The calculated volume comes out at 16.96 Å³ per atom.

The space group is P4/mmm (No. 123) and the conventional cell measures 4.9617, 4.9617 and 2.7562 Å, with angles of 90.00, 90.00 and 90.00 degrees. Symmetry generates all atoms from Zn at (0.0000, 0.0000, 0.0000), Mo at (0.5000, 0.5000, 0.0000) and Au at (0.0000, 0.5000, 0.5000).

=====

A plane-wave DFT calculation with PBE was carried out for a geometry-optimized YPaSi4 structure.

The total DFT energy (no corrections) is -0.4874 Ry/atom. The calculated volume comes out at 20.04 Å³ per atom. The formation energy from raw total energies is -357 meV per atom. The value obtained for the energy relative to the lowest polymorph listed for this composition is 0.0000 eV/atom.

The space group is Pbam (No. 55) and the conventional cell measures 8.4342, 14.4185 and 3.9548 Å, with angles of 90.00, 90.00 and 90.00 degrees. Symmetry generates all atoms from Y at (0.1320, 0.0842, 0.0000), Pa at (0.0926, 0.3684, 0.0000), Si at (0.0417, 0.2178, 0.5000), Si at (0.1266, 0.5296, 0.5000), Si at (0.1506, 0.9177, 0.5000) and Si at (0.1833, 0.6898, 0.5000).

=====

A plane-wave DFT calculation with PBE was carried out for a geometry-optimized LiCe2GaAu6 structure.

The total DFT energy (no corrections) is -0.3043 Ry/atom. The calculated volume comes out at 20.90 Å³ per atom.

The space group is P-1 (No. 2) and the conventional cell measures 5.2315, 5.5496 and 7.8835 Å, with angles of 101.09, 104.85 and 101.99 degrees. Symmetry generates all atoms from Li at (0.0000, 0.0000, 0.0000), Ce at (0.1151, 0.3158, 0.6783), Ga at (0.5000, 0.0000, 0.5000), Au at (0.2703, 0.3170, 0.3378), Au at (0.2918, 0.6089, 0.0816) and Au at (0.3369, 0.8925, 0.8050).

=====

Repeat the sixth record exactly.
A plane-wave DFT calculation with PBE was carried out for a geometry-optimized ZnMoAu2 structure.

The total DFT energy (no corrections) is -0.3270 Ry/atom. The calculated volume comes out at 16.96 Å³ per atom.

The space group is P4/mmm (No. 123) and the conventional cell measures 4.9617, 4.9617 and 2.7562 Å, with angles of 90.00, 90.00 and 90.00 degrees. Symmetry generates all atoms from Zn at (0.0000, 0.0000, 0.0000), Mo at (0.5000, 0.5000, 0.0000) and Au at (0.0000, 0.5000, 0.5000).

=====

What is the calculated volume in the seventh record?
20.04 Å³ per atom